Record 1
The following is a DFT calculation (PBE) of a relaxed structure of Tb3Ag2Pt.

Cell lengths 5.887, 6.723, 8.018 Å; angles 101.85, 111.54, 90.00 degrees
Positions (direct):
Ag1 0.761 0.501 0.327
Ag2 0.434 0.999 0.673
Ag3 0.566 0.001 0.327
Ag4 0.239 0.499 0.673
Tb1 0.658 0.750 0.000
Tb2 0.342 0.250 0.000
Tb3 0.257 0.637 0.332
Tb4 0.743 0.363 0.668
Tb5 0.076 0.137 0.332
Tb6 0.924 0.863 0.668
Pt1 0.155 0.750 0.000
Pt2 0.845 0.250 0.000

Summary:
Total DFT energy (no corrections) (eV/atom): -4.7956

=====

Record 2
The following is a DFT calculation (PBE) of a relaxed structure of Tb3Nd2Ho6Zr.

Cell lengths 6.109, 6.109, 11.665 Å; angles 94.99, 94.99, 119.93 degrees
Positions (direct):
Tb1 0.166 0.834 0.500
Tb2 0.500 0.500 0.500
Tb3 0.834 0.166 0.500
Nd1 0.667 0.333 0.000
Nd2 0.333 0.667 0.000
Ho1 0.083 0.409 0.247
Ho2 0.917 0.591 0.753
Ho3 0.756 0.756 0.247
Ho4 0.244 0.244 0.753
Ho5 0.591 0.917 0.753
Ho6 0.409 0.083 0.247
Zr1 0.000 0.000 0.000

Summary:
Total DFT energy (no corrections) (eV/atom): -4.9021

=====

Record 3
The following is a DFT calculation (PBE) of a relaxed structure of BaLi2As2.

Cell lengths 8.279, 8.279, 3.141 Å; angles 90.00, 90.00, 90.00 degrees
Positions (direct):
Li1 0.886 0.614 0.000
Li2 0.114 0.386 0.000
Li3 0.386 0.886 0.000
Li4 0.614 0.114 0.000
Ba1 0.000 0.000 0.000
Ba2 0.500 0.500 0.000
As1 0.672 0.828 0.500
As2 0.328 0.172 0.500
As3 0.172 0.672 0.500
As4 0.828 0.328 0.500

Summary:
Total DFT energy (no corrections) (eV/atom): -3.6377

=====

Record 4
The following is a DFT calculation (PBE) of a relaxed structure of TbZnGa2Ni4.

Cell lengths 4.064, 4.064, 8.511 Å; angles 76.19, 76.19, 60.00 degrees
Positions (direct):
Ga1 0.759 0.759 0.722
Ga2 0.241 0.241 0.278
Ni1 0.869 0.869 0.392
Ni2 0.131 0.131 0.608
Ni3 0.596 0.596 0.211
Ni4 0.404 0.404 0.789
Tb1 0.000 0.000 0.000
Zn1 0.500 0.500 0.500

Summary:
Total DFT energy (no corrections) (eV/atom): -4.7843

=====

Record 5
The following is a DFT calculation (PBE) of a relaxed structure of AcDyGe2Pd5.

Cell lengths 4.363, 4.363, 9.142 Å; angles 90.00, 90.00, 90.00 degrees
Positions (direct):
Pd1 0.500 0.000 0.737
Pd2 0.500 0.500 0.500
Pd3 0.000 0.500 0.263
Pd4 0.500 0.000 0.263
Pd5 0.000 0.500 0.737
Ge1 0.500 0.500 0.134
Ge2 0.500 0.500 0.866
Dy1 0.000 0.000 0.000
Ac1 0.000 0.000 0.500

Summary:
Total DFT energy (no corrections) (eV/atom): -5.6479

=====

Record 6
The following is a DFT calculation (PBE) of a relaxed structure of Co3Ni4Ir.

Cell lengths 2.550, 4.373, 10.635 Å; angles 128.30, 96.89, 90.00 degrees
Positions (direct):
Ni1 0.372 0.957 0.744
Ni2 0.128 0.551 0.256
Ni3 0.628 0.043 0.256
Ni4 0.872 0.449 0.744
Ir1 0.500 0.000 0.000
Co1 0.750 0.749 0.500
Co2 0.000 0.500 0.000
Co3 0.250 0.251 0.500

Summary:
Total DFT energy (no corrections) (eV/atom): -6.6379

=====

no.,formation energy from the elements (eV per formula unit)
1,-3.14
2,0.62
3,-3.14
4,-3.19
5,-6.92
6,0.20